The following is a PBEsol calculation of an optimized crystal structure of K2ZnTc, from Alexandria.

**Formation energy**: 1.201 eV/atom

Unit cell a=3.971 b=3.971 c=5.542 alpha=90.00 beta=90.00 gamma=90.00
Positions (direct):
Tc (0.500, 0.500, 0.500)
Zn (0.000, 0.000, 0.500)
K (0.000, 0.500, 0.000)
K (0.500, 0.000, 0.000)

The following is a PBEsol calculation of an optimized crystal structure of Al2CoIr, from Alexandria.

**Formation energy**: -0.463 eV/atom

Unit cell a=2.748 b=3.678 c=5.142 alpha=90.00 beta=90.00 gamma=90.00
Positions (direct):
Al (0.500, 0.500, 0.280)
Al (0.000, 0.000, 0.979)
Co (0.000, 0.000, 0.469)
Ir (0.500, 0.500, 0.771)

The following is a PBEsol calculation of an optimized crystal structure of K3SeO, from Alexandria.

**Raw formation energy**: -932 meV/atom

Unit cell a=5.132 b=5.132 c=5.132 alpha=90.00 beta=90.00 gamma=90.00
Positions (direct):
Se (0.500, 0.500, 0.500)
K (0.000, 0.000, 0.500)
O (0.000, 0.000, 0.000)
K (0.000, 0.500, 0.000)
K (0.500, 0.000, 0.000)

The following is a PBEsol calculation of an optimized crystal structure of ZrMnPt2, from Alexandria.

**Formation energy**: -0.490 eV/atom

Unit cell a=3.447 b=3.447 c=5.539 alpha=90.00 beta=90.00 gamma=90.00
Positions (direct):
Zr (0.000, 0.000, 0.483)
Pt (0.000, 0.000, 0.969)
Mn (0.500, 0.500, 0.786)
Pt (0.500, 0.500, 0.262)

The following is a PBEsol calculation of an optimized crystal structure of ZnSi2Tc, from Alexandria.

**Raw formation energy**: -167 meV/atom

Unit cell a=3.154 b=3.154 c=5.299 alpha=90.00 beta=90.00 gamma=90.00
Positions (direct):
Si (0.000, 0.000, 0.250)
Zn (0.500, 0.500, 0.500)
Tc (0.500, 0.500, 0.000)
Si (0.000, 0.000, 0.750)

The following is a PBEsol calculation of an optimized crystal structure of Mg5Cu, from Alexandria.

**Formation energy**: 0.007 eV/atom

Unit cell a=3.198 b=5.643 c=7.375 alpha=110.19 beta=90.00 gamma=106.46
Positions (direct):
Mg (0.332, 0.664, 0.085)
Mg (0.305, 0.609, 0.646)
Mg (0.972, 0.944, 0.445)
Cu (0.972, 0.944, 0.944)
Mg (0.640, 0.279, 0.243)
Mg (0.613, 0.226, 0.804)

The following is a PBEsol calculation of an optimized crystal structure of Ti3ZnN, from Alexandria.

**Raw formation energy**: -986 meV/atom

Unit cell a=4.064 b=4.064 c=4.064 alpha=90.00 beta=90.00 gamma=90.00
Positions (direct):
Ti (0.000, 0.500, 0.000)
N (0.000, 0.000, 0.000)
Ti (0.500, 0.000, 0.000)
Zn (0.500, 0.500, 0.500)
Ti (0.000, 0.000, 0.500)

The following is a PBEsol calculation of an optimized crystal structure of PbAuSCl2, from Alexandria.

**Raw formation energy**: 312 meV/atom

Unit cell a=5.175 b=5.194 c=5.194 alpha=90.00 beta=90.00 gamma=90.00
Positions (direct):
Cl (0.000, 0.000, 0.500)
Pb (0.000, 0.000, 0.000)
Au (0.500, 0.500, 0.500)
S (0.500, 0.000, 0.000)
Cl (0.000, 0.500, 0.000)